## 1
A relaxed structure of BaSc2W, computed with PBE.

Properties
- Fermi-level density of states: 10.52 states/eV/cell
- Magnetic moment: 0.0 μB per formula unit

```
data_BaSc2W
_chemical_formula_sum 'Ba3 Sc6 W3'
_cell_length_a 3.1669
_cell_length_b 3.1669
_cell_length_c 35.1127
_cell_angle_alpha 90.00
_cell_angle_beta 90.00
_cell_angle_gamma 120.00
_space_group_name_H-M_alt 'R -3 m'
_space_group_IT_number 166
_space_group_name_Hall '-R 3 2"'
loop_
_atom_site_label
_atom_site_fract_x
_atom_site_fract_y
_atom_site_fract_z
_atom_site_occupancy
Ba1 0.0000 0.0000 0.0000 1
Sc1 0.0000 0.0000 0.4253 1
W1 0.0000 0.0000 0.5000 1
```



## 2
A relaxed structure of BaSc2W, computed with PBE.

Properties
- Fermi-level density of states: 0.34 states/eV/cell
- Magnetic moment: 0.0 μB per formula unit

```
data_BaSc2W
_chemical_formula_sum 'Ba4 Sc8 W4'
_cell_length_a 7.532
_cell_length_b 7.532
_cell_length_c 11.623
_cell_angle_alpha 90.00
_cell_angle_beta 90.00
_cell_angle_gamma 90.00
_space_group_name_H-M_alt 'I 41/a m d'
_space_group_IT_number 141
loop_
_space_group_symop_operation_xyz
'x,y,z'
'-x,-y,-z'
'-y+1/4,x+3/4,z+1/4'
'y+1/4,-x+3/4,-z+1/4'
'-x+1/2,-y,z+1/2'
'x+1/2,y,-z+1/2'
'y+1/4,-x+1/4,z+3/4'
'-y+1/4,x+1/4,-z+3/4'
'x,-y,-z'
'-x,y,z'
'-y+1/4,-x+1/4,-z+3/4'
'y+1/4,x+1/4,z+3/4'
'-x+1/2,y,-z+1/2'
'x+1/2,-y,z+1/2'
'y+1/4,x+3/4,-z+1/4'
'-y+1/4,-x+3/4,z+1/4'
'x+1/2,y+1/2,z+1/2'
'-x+1/2,-y+1/2,-z+1/2'
'-y+3/4,x+1/4,z+3/4'
'y+3/4,-x+1/4,-z+3/4'
'-x,-y+1/2,z'
'x,y+1/2,-z'
'y+3/4,-x+3/4,z+1/4'
'-y+3/4,x+3/4,-z+1/4'
'x+1/2,-y+1/2,-z+1/2'
'-x+1/2,y+1/2,z+1/2'
'-y+3/4,-x+3/4,-z+1/4'
'y+3/4,x+3/4,z+1/4'
'-x,y+1/2,-z'
'x,-y+1/2,z'
'y+3/4,x+1/4,-z+3/4'
'-y+3/4,-x+1/4,z+3/4'
loop_
_atom_site_label
_atom_site_fract_x
_atom_site_fract_y
_atom_site_fract_z
_atom_site_occupancy
Ba1 0.000 0.250 0.375 1
Sc1 0.000 0.000 0.000 1
W1 0.000 0.250 0.875 1
```



Preferred: 1; penalty for the next structure: 144 meV/atom.